[1]
Material: Tb2TmMg
Method: DFT, PBE-GGA
State: optimized geometry

Cell and atoms, written as CIF:
```
data_Tb2TmMg
_symmetry_space_group_name_H-M 'F m -3 m'
_symmetry_Int_Tables_number 225
_symmetry_space_group_name_Hall '-F 4 2 3'
_cell_length_a 7.754
_cell_length_b 7.754
_cell_length_c 7.754
_cell_angle_alpha 90.00
_cell_angle_beta 90.00
_cell_angle_gamma 90.00
loop_
_atom_site_label
_atom_site_type_symbol
_atom_site_fract_x
_atom_site_fract_y
_atom_site_fract_z
_atom_site_occupancy
Tb1 Tb 0.250 0.250 0.250 1
Tm1 Tm 0.000 0.000 0.000 1
Mg1 Mg 0.000 0.000 0.500 1
```

Results
Formation energy from the elements in meV/atom: 32
Final energy in eV/atom: -3.8001
D(E_F) in states/eV/atom: 1.0880
Distance to the lowest polymorph of the same formula in meV/atom: 56

[2]
Material: Tb7TmMg2
Method: DFT, PBE-GGA
State: optimized geometry

Cell and atoms, written as CIF:
```
data_Tb7TmMg2
_symmetry_space_group_name_H-M 'C m m m'
_symmetry_Int_Tables_number 65
_symmetry_space_group_name_Hall '-C 2 2'
_cell_length_a 8.764
_cell_length_b 16.404
_cell_length_c 5.222
_cell_angle_alpha 90.00
_cell_angle_beta 90.00
_cell_angle_gamma 90.00
loop_
_atom_site_label
_atom_site_type_symbol
_atom_site_fract_x
_atom_site_fract_y
_atom_site_fract_z
_atom_site_occupancy
Tb1 Tb 0.000 0.000 0.000 1
Tb2 Tb 0.000 0.291 0.500 1
Tb3 Tb 0.182 0.388 0.000 1
Tm1 Tm 0.000 0.500 0.500 1
Mg1 Mg 0.000 0.201 0.000 1
```

Results
Formation energy from the elements in meV/atom: 568
Final energy in eV/atom: -3.4390
D(E_F) in states/eV/atom: 1.6287

[3]
Material: Tb12Tm6Mg
Method: DFT, PBE-GGA
State: optimized geometry

Cell and atoms, written as CIF:
```
data_Tb12Tm6Mg
_symmetry_space_group_name_H-M 'R -3 m'
_symmetry_Int_Tables_number 166
_symmetry_space_group_name_Hall '-R 3 2"'
_cell_length_a 12.8473
_cell_length_b 12.8473
_cell_length_c 12.7709
_cell_angle_alpha 90.00
_cell_angle_beta 90.00
_cell_angle_gamma 120.00
loop_
_atom_site_label
_atom_site_type_symbol
_atom_site_fract_x
_atom_site_fract_y
_atom_site_fract_z
_atom_site_occupancy
Tb1 Tb 0.0000 0.2615 0.0000 1
Tb2 Tb 0.0550 0.5275 0.1126 1
Tm1 Tm 0.0902 0.1805 0.7725 1
Mg1 Mg 0.0000 0.0000 0.0000 1
```

Results
Formation energy from the elements in meV/atom: 142
Final energy in eV/atom: -4.2781
D(E_F) in states/eV/atom: 1.5092
Distance to the lowest polymorph of the same formula in meV/atom: 6

[4]
Material: Tb3Tm12Mg
Method: DFT, PBE-GGA
State: optimized geometry

Cell and atoms, written as CIF:
```
data_Tb3Tm12Mg
_symmetry_space_group_name_H-M 'P 4/m m m'
_symmetry_Int_Tables_number 123
_symmetry_space_group_name_Hall '-P 4 2'
_cell_length_a 4.929
_cell_length_b 4.929
_cell_length_c 19.757
_cell_angle_alpha 90.00
_cell_angle_beta 90.00
_cell_angle_gamma 90.00
loop_
_atom_site_label
_atom_site_type_symbol
_atom_site_fract_x
_atom_site_fract_y
_atom_site_fract_z
_atom_site_occupancy
Tb1 Tb 0.000 0.000 0.000 1
Tb2 Tb 0.000 0.000 0.251 1
Tm1 Tm 0.000 0.500 0.126 1
Tm2 Tm 0.000 0.500 0.377 1
Tm3 Tm 0.500 0.500 0.000 1
Tm4 Tm 0.500 0.500 0.255 1
Tm5 Tm 0.500 0.500 0.500 1
Mg1 Mg 0.000 0.000 0.500 1
```

Results
Formation energy from the elements in meV/atom: 25
Final energy in eV/atom: -4.2969
D(E_F) in states/eV/atom: 1.2507

[5]
Material: TbTm3Mg12
Method: DFT, PBE-GGA
State: optimized geometry

Cell and atoms, written as CIF:
```
data_TbTm3Mg12
_symmetry_space_group_name_H-M 'P 4/m m m'
_symmetry_Int_Tables_number 123
_symmetry_space_group_name_Hall '-P 4 2'
_cell_length_a 4.604
_cell_length_b 4.604
_cell_length_c 18.895
_cell_angle_alpha 90.00
_cell_angle_beta 90.00
_cell_angle_gamma 90.00
loop_
_atom_site_label
_atom_site_type_symbol
_atom_site_fract_x
_atom_site_fract_y
_atom_site_fract_z
_atom_site_occupancy
Tb1 Tb 0.000 0.000 0.000 1
Tm1 Tm 0.000 0.000 0.251 1
Tm2 Tm 0.000 0.000 0.500 1
Mg1 Mg 0.000 0.500 0.126 1
Mg2 Mg 0.000 0.500 0.375 1
Mg3 Mg 0.500 0.500 0.000 1
Mg4 Mg 0.500 0.500 0.251 1
Mg5 Mg 0.500 0.500 0.500 1
```

Results
Formation energy from the elements in meV/atom: -47
Final energy in eV/atom: -2.3707
D(E_F) in states/eV/atom: 0.7335

[6]
Material: Tb6TmMg
Method: DFT, PBE-GGA
State: optimized geometry

Cell and atoms, written as CIF:
```
data_Tb6TmMg
_symmetry_space_group_name_H-M 'P -1'
_symmetry_Int_Tables_number 2
_cell_length_a 6.338
_cell_length_b 6.338
_cell_length_c 6.344
_cell_angle_alpha 95.77
_cell_angle_beta 95.67
_cell_angle_gamma 95.80
loop_
_symmetry_equiv_pos_as_xyz
'x,y,z'
'-x,-y,-z'
loop_
_atom_site_label
_atom_site_type_symbol
_atom_site_fract_x
_atom_site_fract_y
_atom_site_fract_z
_atom_site_occupancy
Tb1 Tb 0.015 0.246 0.455 1
Tb2 Tb 0.254 0.044 0.986 1
Tb3 Tb 0.455 0.515 0.746 1
Tm1 Tm 0.000 0.500 0.000 1
Mg1 Mg 0.500 0.000 0.500 1
```

Results
Formation energy from the elements in meV/atom: 129
Final energy in eV/atom: -4.1024
D(E_F) in states/eV/atom: 1.4390
Distance to the lowest polymorph of the same formula in meV/atom: 107

[7]
Material: TbTm6Mg2
Method: DFT, PBE-GGA
State: optimized geometry

Cell and atoms, written as CIF:
```
data_TbTm6Mg2
_symmetry_space_group_name_H-M 'C 1 2/m 1'
_symmetry_Int_Tables_number 12
_cell_length_a 12.484
_cell_length_b 3.689
_cell_length_c 11.807
_cell_angle_alpha 90.00
_cell_angle_beta 107.86
_cell_angle_gamma 90.00
loop_
_symmetry_equiv_pos_as_xyz
'x,y,z'
'-x,-y,-z'
'-x,y,-z'
'x,-y,z'
'x+1/2,y+1/2,z'
'-x+1/2,-y+1/2,-z'
'-x+1/2,y+1/2,-z'
'x+1/2,-y+1/2,z'
loop_
_atom_site_label
_atom_site_type_symbol
_atom_site_fract_x
_atom_site_fract_y
_atom_site_fract_z
_atom_site_occupancy
Tb1 Tb 0.000 0.000 0.000 1
Tm1 Tm 0.015 0.000 0.345 1
Tm2 Tm 0.180 0.500 0.876 1
Tm3 Tm 0.186 0.500 0.582 1
Mg1 Mg 0.150 0.500 0.213 1
```

Results
Formation energy from the elements in meV/atom: -11
Final energy in eV/atom: -3.8610
D(E_F) in states/eV/atom: 1.1517

[8]
Material: Tb12Tm5Mg
Method: DFT, PBE-GGA
State: optimized geometry

Cell and atoms, written as CIF:
```
data_Tb12Tm5Mg
_symmetry_space_group_name_H-M 'C 1 2/m 1'
_symmetry_Int_Tables_number 12
_cell_length_a 6.135
_cell_length_b 10.626
_cell_length_c 17.218
_cell_angle_alpha 90.00
_cell_angle_beta 96.84
_cell_angle_gamma 90.00
loop_
_symmetry_equiv_pos_as_xyz
'x,y,z'
'-x,-y,-z'
'-x,y,-z'
'x,-y,z'
'x+1/2,y+1/2,z'
'-x+1/2,-y+1/2,-z'
'-x+1/2,y+1/2,-z'
'x+1/2,-y+1/2,z'
loop_
_atom_site_label
_atom_site_type_symbol
_atom_site_fract_x
_atom_site_fract_y
_atom_site_fract_z
_atom_site_occupancy
Tb1 Tb 0.110 0.000 0.332 1
Tb2 Tb 0.111 0.333 0.333 1
Tb3 Tb 0.220 0.165 0.164 1
Tb4 Tb 0.225 0.500 0.164 1
Tm1 Tm 0.000 0.167 0.500 1
Tm2 Tm 0.000 0.333 0.000 1
Tm3 Tm 0.000 0.500 0.500 1
Mg1 Mg 0.000 0.000 0.000 1
```

Results
Formation energy from the elements in meV/atom: 22
Final energy in eV/atom: -4.3954
D(E_F) in states/eV/atom: 1.3187

[9]
Material: TbTm5Mg6
Method: DFT, PBE-GGA
State: optimized geometry

Cell and atoms, written as CIF:
```
data_TbTm5Mg6
_symmetry_space_group_name_H-M 'P 1 2/m 1'
_symmetry_Int_Tables_number 10
_cell_length_a 5.335
_cell_length_b 7.474
_cell_length_c 8.436
_cell_angle_alpha 90.00
_cell_angle_beta 108.39
_cell_angle_gamma 90.00
loop_
_symmetry_equiv_pos_as_xyz
'x,y,z'
'-x,-y,-z'
'-x,y,-z'
'x,-y,z'
loop_
_atom_site_label
_atom_site_type_symbol
_atom_site_fract_x
_atom_site_fract_y
_atom_site_fract_z
_atom_site_occupancy
Tb1 Tb 0.000 0.000 0.000 1
Tm1 Tm 0.000 0.500 0.000 1
Tm2 Tm 0.332 0.000 0.665 1
Tm3 Tm 0.333 0.500 0.668 1
Mg1 Mg 0.169 0.251 0.335 1
Mg2 Mg 0.500 0.251 0.000 1
```

Results
Formation energy from the elements in meV/atom: -63
Final energy in eV/atom: -3.1093
D(E_F) in states/eV/atom: 1.3817

[10]
Material: TbTm2Mg
Method: DFT, PBE-GGA
State: optimized geometry

Cell and atoms, written as CIF:
```
data_TbTm2Mg
_symmetry_space_group_name_H-M 'F m m m'
_symmetry_Int_Tables_number 69
_symmetry_space_group_name_Hall '-F 2 2'
_cell_length_a 7.066
_cell_length_b 7.075
_cell_length_c 18.532
_cell_angle_alpha 90.00
_cell_angle_beta 90.00
_cell_angle_gamma 90.00
loop_
_atom_site_label
_atom_site_type_symbol
_atom_site_fract_x
_atom_site_fract_y
_atom_site_fract_z
_atom_site_occupancy
Tb1 Tb 0.000 0.000 0.129 1
Tm1 Tm 0.000 0.000 0.369 1
Tm2 Tm 0.250 0.250 0.000 1
Mg1 Mg 0.250 0.250 0.250 1
```

Results
Formation energy from the elements in meV/atom: -26
Final energy in eV/atom: -3.8183
D(E_F) in states/eV/atom: 1.0231
Distance to the lowest polymorph of the same formula in meV/atom: 0